[1]
Below is an optimized crystal structure of FeAsP, with properties calculated at the PBE level.

Unit cell a=4.020 b=4.020 c=5.796 alpha=90.00 beta=90.00 gamma=90.00
Sites, in units of the cell vectors:
Fe 0.250 0.750 0.000
Fe 0.750 0.250 0.000
As 0.250 0.250 0.272
As 0.750 0.750 0.728
P 0.250 0.250 0.792
P 0.750 0.750 0.208

## Properties
ΔH_f (0 K)	-2.6	kJ per mole of atoms
symmetry	No. 129
DOS(E_F)	0.4820	states/eV per atom

***

[2]
Below is an optimized crystal structure of NbPd12, with properties calculated at the PBE level.

Unit cell a=6.482 b=6.482 c=6.482 alpha=109.47 beta=109.47 gamma=109.47
Sites, in units of the cell vectors:
Nb 0.000 0.000 0.000
Pd 0.126 0.310 0.816
Pd 0.184 0.494 0.310
Pd 0.184 0.874 0.690
Pd 0.310 0.184 0.494
Pd 0.310 0.816 0.126
Pd 0.494 0.310 0.184
Pd 0.506 0.690 0.816
Pd 0.690 0.184 0.874
Pd 0.690 0.816 0.506
Pd 0.816 0.126 0.310
Pd 0.816 0.506 0.690
Pd 0.874 0.690 0.184

## Properties
ΔH_f (0 K)	-8.6	kJ per mole of atoms
symmetry	No. 204
DOS(E_F)	1.4620	states/eV per atom

***

[3]
Below is an optimized crystal structure of AlFe2Si2, with properties calculated at the PBE level.

Unit cell a=6.138 b=6.138 c=6.138 alpha=148.16 beta=148.16 gamma=45.65
Sites, in units of the cell vectors:
Al 0.000 0.000 0.000
Fe 0.390 0.390 0.000
Fe 0.610 0.610 0.000
Si 0.250 0.750 0.500
Si 0.750 0.250 0.500

## Properties
ΔE_f (raw)	-0.24	eV per atom
symmetry	No. 139
DOS(E_F)	0.5611	states/eV per atom

***

[4]
Below is an optimized crystal structure of Cs2ZrH2Se4, with properties calculated at the PBE level.

Unit cell a=9.522 b=9.522 c=7.743 alpha=112.63 beta=112.63 gamma=22.31
Sites, in units of the cell vectors:
Cs 0.144 0.144 0.139
Cs 0.856 0.856 0.861
Zr 0.000 0.000 0.500
H 0.327 0.327 0.384
H 0.673 0.673 0.616
Se 0.165 0.165 0.659
Se 0.498 0.498 0.251
Se 0.502 0.502 0.749
Se 0.835 0.835 0.341

## Properties
total DFT energy (no corrections)	-4.241	eV/atom
symmetry	No. 12
DOS(E_F)	0.0242	states/eV per atom

***

Among the records above, which one has the lowest DOS(E_F)? Cs2ZrH2Se4

***

Which of these has the lowest DOS(E_F)? Cs2ZrH2Se4